# 1
{
  "formula": "CaSiP2",
  "functional": "PBE",
  "state": "optimized geometry",
  "cell": [[-4.7648, -4.1061, 2.0666], [2.5674, 0.0918, 6.1020], [-3.3922, 1.1163, 5.0023]],
  "species": ["P", "P", "P", "P", "Ca", "Ca", "Si", "Si"],
  "frac_coords": [[0.5481, 0.1250, 0.2500], [0.2019, 0.6250, 0.2500], [0.3750, 0.4519, 0.7500], [0.8750, 0.7981, 0.7500], [0.0000, 0.0000, 0.0000], [0.7500, 0.2500, 0.5000], [0.5000, 0.5000, 0.0000], [0.2500, 0.7500, 0.5000]],
  "e_tot_ev_per_cell": -41.82,
  "total_magnetization_mub_per_atom": 0.000,
  "dos_ef_per_ev_cell": 0.0,
  "formation_energy_uncorrected_ev_per_atom": -0.67
}

# 2
{
  "formula": "Pm12Dy3Al",
  "functional": "PBE",
  "state": "optimized geometry",
  "cell": [[-2.5382, 4.2210, -1.0609], [-4.1340, -2.7223, -0.9403], [-5.5245, 1.6104, 19.6250]],
  "species": ["Pm", "Pm", "Pm", "Pm", "Pm", "Pm", "Pm", "Pm", "Pm", "Pm", "Pm", "Pm", "Dy", "Dy", "Dy", "Al"],
  "frac_coords": [[0.5000, 0.5000, 0.0000], [0.5000, 0.5000, 0.2441], [0.5000, 0.5000, 0.5000], [0.5000, 0.5000, 0.7559], [0.5000, 0.0000, 0.1172], [0.5000, 0.0000, 0.3724], [0.5000, 0.0000, 0.6276], [0.5000, 0.0000, 0.8828], [0.0000, 0.5000, 0.1172], [0.0000, 0.5000, 0.3724], [0.0000, 0.5000, 0.6276], [0.0000, 0.5000, 0.8828], [0.0000, 0.0000, 0.2460], [0.0000, 0.0000, 0.5000], [0.0000, 0.0000, 0.7540], [0.0000, 0.0000, 0.0000]],
  "e_tot_ev_per_cell": -74.84,
  "total_magnetization_mub_per_atom": 0.000,
  "dos_ef_per_ev_cell": 22.4
}

# 3
{
  "formula": "BaNa8Hg4",
  "functional": "PBE",
  "state": "optimized geometry",
  "cell": [[-3.6162, -0.1672, 5.2334], [-7.9771, -2.3567, -1.7186], [0.1753, -7.6208, 3.7464]],
  "species": ["Ba", "Na", "Na", "Na", "Na", "Na", "Na", "Na", "Na", "Hg", "Hg", "Hg", "Hg"],
  "frac_coords": [[0.0000, 0.0000, 0.0000], [0.0000, 0.3447, 0.6553], [0.0000, 0.6553, 0.3447], [0.3447, 0.6553, 0.6553], [0.6553, 0.3447, 0.3447], [0.5000, 0.7804, 0.2196], [0.5000, 0.2196, 0.7804], [0.2804, 0.2196, 0.2196], [0.7196, 0.7804, 0.7804], [0.0000, 0.0000, 0.5000], [0.5000, 0.0000, 0.5000], [0.0000, 0.5000, 0.0000], [0.5000, 0.5000, 0.0000]],
  "e_tot_ev_per_cell": -16.04,
  "total_magnetization_mub_per_atom": 0.000,
  "dos_ef_per_ev_cell": 5.2
}

# 4
{
  "formula": "CsInPb3",
  "functional": "PBE",
  "state": "optimized geometry",
  "cell": [[-2.5685, -5.4021, 0.4713], [2.6668, -1.7124, -5.0949], [4.7215, -1.9715, 3.1340]],
  "species": ["Pb", "Pb", "Pb", "Cs", "In"],
  "frac_coords": [[0.0000, 0.5000, 0.0000], [0.0000, 0.0000, 0.5000], [0.5000, 0.0000, 0.0000], [0.5000, 0.5000, 0.5000], [0.0000, 0.0000, 0.0000]],
  "e_tot_ev_per_cell": -13.74,
  "total_magnetization_mub_per_atom": 0.000,
  "dos_ef_per_ev_cell": 3.5
}

# 5
{
  "formula": "TlInGaHg2",
  "functional": "PBE",
  "state": "optimized geometry",
  "cell": [[5.2444, 0.0000, 0.0000], [0.0000, 5.2444, 0.0000], [0.0000, 0.0000, 5.6481]],
  "species": ["Tl", "Hg", "Hg", "Ga", "In"],
  "frac_coords": [[0.0000, 0.0000, 0.5000], [0.0000, 0.5000, 0.0000], [0.5000, 0.0000, 0.0000], [0.0000, 0.0000, 0.0000], [0.5000, 0.5000, 0.5000]],
  "e_tot_ev_per_cell": -7.87,
  "total_magnetization_mub_per_atom": 0.000,
  "dos_ef_per_ev_cell": 1.5
}

# 6
{
  "formula": "CdAgAu2",
  "functional": "PBE",
  "state": "optimized geometry",
  "cell": [[-1.5842, 2.4335, 0.7721], [-2.4144, 0.8228, -1.5878], [-6.8042, -4.4183, 5.4094]],
  "species": ["Cd", "Ag", "Au", "Au"],
  "frac_coords": [[0.6668, 0.6668, 0.9999], [0.4987, 0.4987, 0.5001], [0.0859, 0.0859, 0.7460], [0.2486, 0.2486, 0.2540]],
  "e_tot_ev_per_cell": -10.50,
  "total_magnetization_mub_per_atom": 0.000,
  "dos_ef_per_ev_cell": 1.5
}